Material: AcTl2CrF6
Method: DFT, GGA+U
State: optimized geometry

- Energy: -107.06 eV/cell

```
data_AcTl2CrF6
_space_group_name_H-M_alt 'P m m n'
_space_group_IT_number 59
_cell_length_a 6.3288
_cell_length_b 9.8666
_cell_length_c 6.4292
_cell_angle_alpha 90.00
_cell_angle_beta 90.00
_cell_angle_gamma 90.00
loop_
_space_group_symop_operation_xyz
'x,y,z'
'-x,-y,-z'
'-x+1/2,-y+1/2,z'
'x+1/2,y+1/2,-z'
'x+1/2,-y,-z'
'-x+1/2,y,z'
'-x,y+1/2,-z'
'x,-y+1/2,z'
loop_
_atom_site_label
_atom_site_type_symbol
_atom_site_fract_x
_atom_site_fract_y
_atom_site_fract_z
Ac1 Ac 0.2500 0.2500 0.2334
Tl1 Tl 0.2500 0.0028 0.7297
Cr1 Cr 0.2500 0.7500 0.2625
F1 F 0.0198 0.7500 0.0381
F2 F 0.0211 0.7500 0.4902
F3 F 0.2500 0.0073 0.2719
```